Computed, not measured: a relaxed structure of LaP2Ir at the PBE level of DFT.

Calculated values
N(E_F) ... 0.3813 states/eV/atom
Spin magnetization ... 0.00 μB/cell
ρ ... 7.59 g cm⁻³
Energy relative to the elements ... -0.710 eV per atom
Crystal system ... tetragonal
Symmetry ... No. 122

Lattice parameters (Å, degrees): 4.6565 4.6565 8.5861 74.27 74.27 90.00
Fractional coordinates of all 8 atoms:
P: 0.7853 0.1250 0.2500
P: 0.9647 0.6250 0.2500
P: 0.3750 0.2147 0.7500
P: 0.8750 0.0353 0.7500
Ir: 0.0000 0.0000 0.0000
Ir: 0.7500 0.2500 0.5000
La: 0.5000 0.5000 0.0000
La: 0.2500 0.7500 0.5000

Computed, not measured: a relaxed structure of Mg2TcSe at the PBE level of DFT.

Calculated values
N(E_F) ... 1.1571 states/eV/atom
Formation energy from raw total energies ... 105 kJ/mol of formula units
Spin magnetization ... 1.21 μB/cell
ρ ... 5.32 g cm⁻³
Crystal system ... cubic
Symmetry ... No. 216

Lattice parameters (Å, degrees): 4.6345 4.6345 4.6345 60.00 60.00 60.00
Each line ends with the local moment (μB).
Fractional coordinates of all 4 atoms:
Mg: 0.0000 0.0000 0.0000  0.00
Mg: 0.2500 0.2500 0.2500  -0.01
Se: 0.5000 0.5000 0.5000  0.01
Tc: 0.7500 0.7500 0.7500  1.04

Computed, not measured: a relaxed structure of Dy8Ru3Pt2 at the PBE level of DFT.

Calculated values
N(E_F) ... 0.4712 states/eV/atom
Spin magnetization ... 0.00 μB/cell
ρ ... 10.38 g cm⁻³
Energy relative to the elements ... -0.628 eV per atom
Crystal system ... orthorhombic
Symmetry ... No. 65

Lattice parameters (Å, degrees): 4.8174 9.6535 8.3852 125.17 90.00 90.00
Fractional coordinates of all 13 atoms:
Dy: 0.0000 0.6197 0.2392
Dy: 0.0000 0.3803 0.7608
Dy: 0.0000 0.1215 0.2434
Dy: 0.0000 0.8785 0.7566
Dy: 0.5000 0.6301 0.7597
Dy: 0.5000 0.1301 0.7601
Dy: 0.5000 0.8699 0.2399
Dy: 0.5000 0.3699 0.2403
Ru: 0.5000 0.0000 0.0000
Ru: 0.0000 0.2493 0.0003
Ru: 0.0000 0.7507 0.9997
Pt: 0.5000 0.2502 0.5008
Pt: 0.5000 0.7498 0.4992

Computed, not measured: a relaxed structure of Na5Sn2Hg5 at the PBE level of DFT.

Calculated values
N(E_F) ... 0.2812 states/eV/atom
Spin magnetization ... 0.00 μB/cell
ρ ... 7.12 g cm⁻³
Energy relative to the elements ... -0.195 eV per atom
Crystal system ... monoclinic
Symmetry ... No. 12

Lattice parameters (Å, degrees): 5.0681 6.3718 11.0156 79.69 76.70 66.57
Fractional coordinates of all 12 atoms:
Na: 0.5000 0.5000 0.5000
Na: 0.3450 0.3151 0.9950
Na: 0.3691 0.9944 0.2674
Na: 0.6309 0.0056 0.7326
Na: 0.6550 0.6849 0.0050
Sn: 0.9233 0.3862 0.7672
Sn: 0.0767 0.6138 0.2328
Hg: 0.8217 0.9126 0.4440
Hg: 0.2771 0.6738 0.7720
Hg: 0.7229 0.3262 0.2280
Hg: 0.1783 0.0874 0.5560
Hg: 0.0000 0.0000 0.0000

Computed, not measured: a relaxed structure of ZnCrMo2 at the PBE level of DFT.

Calculated values
N(E_F) ... 0.7571 states/eV/atom
Spin magnetization ... 0.57 μB/cell
ρ ... 8.85 g cm⁻³
Energy relative to the elements ... 0.244 eV per atom
Crystal system ... orthorhombic
Symmetry ... No. 47

Lattice parameters (Å, degrees): 2.5849 4.1979 5.3494 90.00 90.00 90.00
Each line ends with the local moment (μB).
Fractional coordinates of all 4 atoms:
Cr: 0.5000 0.5000 0.7500  0.57
Mo: 0.0000 0.0000 0.9955  -0.03
Mo: 0.0000 0.0000 0.5045  -0.03
Zn: 0.5000 0.5000 0.2500  0.01

Computed, not measured: a relaxed structure of Sr2MgSe at the PBE level of DFT.

Calculated values
N(E_F) ... 0.6569 states/eV/atom
Formation energy from raw total energies ... -269 kJ/mol of formula units
Spin magnetization ... 0.00 μB/cell
ρ ... 3.60 g cm⁻³
Crystal system ... orthorhombic
Symmetry ... No. 47

Lattice parameters (Å, degrees): 5.6412 4.0315 5.6528 90.01 90.00 90.00
Fractional coordinates of all 4 atoms:
Mg: 0.0000 0.6250 0.3747
Se: 0.5000 0.6250 0.8755
Sr: 0.0000 0.1250 0.8747
Sr: 0.5000 0.1249 0.3751

Computed, not measured: a relaxed structure of Cu3W at the PBE level of DFT.

Calculated values
N(E_F) ... 0.7847 states/eV/atom
Spin magnetization ... 0.00 μB/cell
ρ ... 11.59 g cm⁻³
Energy relative to the elements ... 0.259 eV per atom
Crystal system ... hexagonal
Symmetry ... No. 187

Lattice parameters (Å, degrees): 2.6854 2.6854 8.5899 90.00 90.00 120.00
Fractional coordinates of all 4 atoms:
Cu: 0.0000 0.0000 0.0114
Cu: 0.0000 0.0000 0.4886
Cu: 0.6667 0.3333 0.2500
W: 0.6667 0.3333 0.7500

Computed, not measured: a relaxed structure of SiNi6B2 at the PBE level of DFT.

Calculated values
N(E_F) ... 0.5775 states/eV/atom
Formation energy from raw total energies ... -313 kJ/mol of formula units
Spin magnetization ... 0.00 μB/cell
ρ ... 7.69 g cm⁻³
Crystal system ... orthorhombic
Symmetry ... No. 71

Lattice parameters (Å, degrees): 6.1076 6.1076 6.1076 102.88 112.33 113.40
Fractional coordinates of all 18 atoms:
Si: 0.0000 0.5000 0.5000
Si: 0.0000 0.0000 0.0000
Ni: 0.5182 0.7069 0.8113
Ni: 0.4818 0.2931 0.1887
Ni: 0.1044 0.2931 0.8113
Ni: 0.8956 0.7069 0.1887
Ni: 0.8049 0.7583 0.5632
Ni: 0.1951 0.2417 0.4368
Ni: 0.1951 0.7583 0.9534
Ni: 0.8049 0.2417 0.0466
Ni: 0.6884 0.3599 0.6716
Ni: 0.3116 0.6401 0.3284
Ni: 0.3116 0.9832 0.6716
Ni: 0.6884 0.0168 0.3284
B: 0.5000 0.3807 0.8807
B: 0.5000 0.6193 0.1193
B: 0.6552 0.0000 0.6552
B: 0.3448 0.0000 0.3448

Which value of ρ does entry 8 give? 7.69 g cm⁻³